# 1
This record from Alexandria describes crystalline RuCl at its relaxed geometry. The functional is GGA-PBE.

Summary:
formation energy from raw total energies	0.359	eV per atom
N(E_F)	1.0817	states/eV/atom
total magnetization	0.00	μB/f.u.
symmetry	No. 63

Cell lengths 5.4885, 5.4885, 3.0007 Å; angles 90.00, 90.00, 130.78 degrees
Fractional positions:
Ru  0.1016  0.8984  0.7500
Ru  0.8984  0.1016  0.2500
Cl  0.3444  0.6556  0.2500
Cl  0.6556  0.3444  0.7500


# 2
This record from Alexandria describes crystalline RuCl at its relaxed geometry. The functional is GGA-PBE.

Summary:
formation energy from raw total energies	0.418	eV per atom
N(E_F)	1.1904	states/eV/atom
total magnetization	0.49	μB/f.u.
symmetry	No. 1

Cell lengths 3.0372, 4.4757, 5.8045 Å; angles 76.90, 77.95, 80.66 degrees
Fractional positions:
Ru  0.0000  0.0000  0.0000
Ru  0.4113  0.7583  0.3406
Cl  0.2171  0.1496  0.5631
Cl  0.7804  0.5045  0.0150


# 3
This record from Alexandria describes crystalline Ru5Cl at its relaxed geometry. The functional is GGA-PBE.

Summary:
formation energy from raw total energies	0.453	eV per atom
N(E_F)	1.0479	states/eV/atom
total magnetization	0.00	μB/f.u.
symmetry	No. 8

Cell lengths 5.1807, 5.1807, 6.4477 Å; angles 101.73, 101.73, 31.04 degrees
Fractional positions:
Ru  0.0000  0.0000  0.0000
Ru  0.0335  0.0335  0.5751
Ru  0.3269  0.3269  0.6508
Ru  0.3916  0.3916  0.2680
Ru  0.6637  0.6637  0.3198
Cl  0.6893  0.6893  0.8656


# 4
This record from Alexandria describes crystalline RuCl at its relaxed geometry. The functional is GGA-PBE.

Summary:
formation energy from raw total energies	0.623	eV per atom
N(E_F)	1.4853	states/eV/atom
total magnetization	0.04	μB/f.u.
symmetry	No. 217

Cell lengths 6.5400, 6.5400, 6.5400 Å; angles 109.47, 109.47, 109.47 degrees
Fractional positions:
Ru  0.0000  0.0000  0.2357
Ru  0.0000  0.2357  0.0000
Ru  0.2357  0.0000  0.0000
Ru  0.7643  0.7643  0.7643
Cl  0.0000  0.0000  0.5966
Cl  0.0000  0.5966  0.0000
Cl  0.4034  0.4034  0.4034
Cl  0.5966  0.0000  0.0000


| no. | VASP energy (eV/cell) |
| --- | --- |
| 1 | -20.8 |
| 2 | -20.6 |
| 3 | -45.5 |
| 4 | -39.5 |